No. 1
DFT (PBE) results for Ca2Sm2ZnPd4 after structural relaxation.

The structure in POSCAR format:
```
Ca2Sm2ZnPd4
1.0
-2.8737 5.9018 -0.1420
-3.6242 -5.0357 -2.1485
1.2849 -2.4504 5.9543
Pd Ca Sm Zn
4 2 2 1
direct
0.5153 0.2576 0.2576
0.4847 0.7424 0.7424
0.0000 0.2576 0.7424
0.0000 0.7424 0.2576
0.5000 0.7500 0.2500
0.5000 0.2500 0.7500
0.0000 0.3117 0.3117
0.0000 0.6883 0.6883
0.0000 0.0000 0.0000
```

## Properties
Total DFT energy (no corrections) = -4.368 eV/atom
N(E_F) = 7.13 states/eV/cell
DFT formation energy = -0.425 eV/atom
Space group = I4/mmm (139)



No. 2
DFT (PBE) results for AcY5Ho2Er after structural relaxation.

The structure in POSCAR format:
```
AcY5Ho2Er
1.0
5.5438 0.0000 0.0000
-2.7719 11.9078 0.0000
0.0000 0.0000 9.3647
Ho Ac Er Y
4 2 2 10
direct
0.8862 0.7724 0.7841
0.1710 0.3420 0.6777
0.1138 0.2276 0.2841
0.8290 0.6580 0.1777
0.6026 0.2052 0.9284
0.3974 0.7948 0.4284
0.2395 0.4790 0.0374
0.7605 0.5210 0.5374
0.4751 0.9501 0.7491
0.7426 0.4851 0.8657
0.6051 0.2103 0.5311
0.6906 0.3812 0.2265
0.0087 0.0175 0.5241
0.3094 0.6188 0.7265
0.5249 0.0499 0.2491
0.9913 0.9825 0.0241
0.3949 0.7897 0.0311
0.2574 0.5149 0.3657
```

## Properties
Total DFT energy (no corrections) = -5.410 eV/atom
N(E_F) = 26.48 states/eV/cell
DFT formation energy = 0.162 eV/atom
Space group = Cmc2_1 (36)



No. 3
DFT (PBE) results for ZrTa4Ni after structural relaxation.

The structure in POSCAR format:
```
ZrTa4Ni
1.0
2.7766 -4.4454 -1.5545
2.3212 -3.2249 3.7550
-2.0440 -4.9771 0.9688
Ta Ni Zr
4 1 1
direct
0.3761 0.3761 0.8717
0.3761 0.8717 0.3761
0.8717 0.3761 0.3761
0.3761 0.3761 0.3761
0.0000 0.0000 0.0000
0.7500 0.7500 0.7500
```

## Properties
Total DFT energy (no corrections) = -9.909 eV/atom
N(E_F) = 7.86 states/eV/cell
DFT formation energy = 0.381 eV/atom
Space group = F-43m (216)



No. 4
DFT (PBE) results for CaW2S after structural relaxation.

The structure in POSCAR format:
```
CaW2S
1.0
-0.7021 -4.1557 2.4540
4.5507 -1.3958 -1.0618
4.6746 0.8813 7.6759
W Ca S
4 2 2
direct
0.3751 0.1250 0.2500
0.3749 0.6250 0.2500
0.3750 0.6249 0.7500
0.8750 0.6251 0.7500
0.0000 0.0000 0.0000
0.7500 0.2500 0.5000
0.2500 0.7500 0.5000
0.5000 0.5000 0.0000
```

## Properties
Total DFT energy (no corrections) = -7.168 eV/atom
N(E_F) = 9.46 states/eV/cell
E_form (uncorrected) = 81.1 kJ/mol of atoms
Space group = I4_1/amd (141)



No. 5
DFT (PBE) results for Al2SnHg after structural relaxation.

The structure in POSCAR format:
```
Al2SnHg
1.0
-3.4378 1.1442 0.0021
-1.0619 -3.1930 1.3434
0.7819 2.3379 6.1748
Hg Al Sn
1 2 1
direct
0.5000 0.5000 0.0000
0.0000 0.0000 0.7565
0.0000 0.0000 0.2435
0.5000 0.5000 0.5000
```

## Properties
Relative energy among the computed polymorphs = 0.14 eV per formula unit
Total DFT energy (no corrections) = -2.746 eV/atom
N(E_F) = 1.26 states/eV/cell
DFT formation energy = 0.201 eV/atom
Space group = P4/mmm (123)



No. 6
DFT (PBE) results for TmThMg after structural relaxation.

The structure in POSCAR format:
```
TmThMg
1.0
3.4701 0.0000 0.0000
-1.7351 3.0052 0.0000
0.0000 0.0000 8.5051
Tm Mg Th
1 1 1
direct
0.3333 0.6667 0.6623
0.6667 0.3333 0.3384
0.0000 0.0000 0.9993
```

## Properties
Relative energy among the computed polymorphs = 0.28 eV per formula unit
Total DFT energy (no corrections) = -4.422 eV/atom
N(E_F) = 5.04 states/eV/cell
DFT formation energy = 0.074 eV/atom
Space group = P3m1 (156)



> N(E_F) of number 5 (Al2SnHg)?

1.26 states/eV/cell



> Which of these has the lowest total DFT energy (no corrections)?

ZrTa4Ni



> What is the N(E_F) in the second record?

26.48 states/eV/cell



> The lowest N(E_F) belongs to which entry?

Al2SnHg